PBE+U Li7Mn2Co3O12, relaxed; calculated density = 4.076 g/cm³; calculated total energy = -5.7833 eV/atom
1.0
5.072 0.000 0.000
0.000 2.916 0.000
-0.378 0.000 14.525
Li Mn Co O
7 2 3 12
direct
0.000 0.000 0.000 Li
0.012 0.000 0.506 Li
0.159 0.500 0.660 Li
0.348 0.000 0.350 Li
0.500 0.500 0.002 Li
0.669 0.000 0.667 Li
0.859 0.500 0.356 Li
0.511 0.500 0.506 Mn
0.683 0.000 0.174 Mn
0.182 0.500 0.175 Co
0.335 0.000 0.838 Co
0.835 0.500 0.837 Co
0.009 0.000 0.246 O
0.017 0.000 0.762 O
0.157 0.500 0.918 O
0.209 0.500 0.427 O
0.355 0.000 0.101 O
0.359 0.000 0.579 O
0.515 0.500 0.763 O
0.550 0.500 0.248 O
0.658 0.000 0.917 O
0.662 0.000 0.433 O
0.811 0.500 0.583 O
0.818 0.500 0.098 O